w:
5
Lattice="-2.215 -1.173 4.137 -0.218 -4.617 -1.426 3.663 -0.716 1.758" Properties=species:S:1:pos:R:3 comment="CaNiPS2 (PBE, optimized geometry)" spacegroup="P4/mmm, No. 123" magmom_total_mub_per_atom=0.000 pbc="T T T"
Ni 0.000 0.000 0.000
Ca 0.615 -3.253 2.235
S -0.109 -2.308 -0.713
S -1.108 -0.586 2.068
P 1.831 -0.358 0.879

x:
5
Lattice="5.126 0.000 0.000 0.000 5.126 0.000 0.000 0.000 5.214" Properties=species:S:1:pos:R:3 comment="CaNiPS2 (PBE, optimized geometry)" spacegroup="P4/mmm, No. 123" magmom_total_mub_per_atom=0.344 pbc="T T T"
Ni 2.563 2.563 2.607
Ca 0.000 0.000 0.000
S 0.000 2.563 0.000
S 2.563 0.000 0.000
P 0.000 0.000 2.607

Among the structures shown above, w is the most stable, with the second-best lying 1469 meV/atom higher.